Entry 1:
SiGe2Pd2 | PBE | relaxed

Geometry as POSCAR:
```
SiGe2Pd2
1.0
7.6311 0.0000 0.0000
0.0000 7.6311 0.0000
0.0000 0.0000 2.8796
Si Ge Pd
2 4 4
Cartesian
0.0000 0.0000 0.0000
3.8155 3.8155 0.0000
1.2408 2.5748 0.0000
2.5748 6.3903 0.0000
5.0563 1.2408 0.0000
6.3903 5.0563 0.0000
1.0158 4.8313 1.4398
2.7997 1.0158 1.4398
4.8313 6.6153 1.4398
6.6153 2.7997 1.4398
```

Energy relative to the lowest polymorph listed for this composition (meV/atom): 58

=====

Entry 2:
SiGePd4 | PBE | relaxed

Geometry as POSCAR:
```
SiGePd4
1.0
6.6166 0.0000 0.0000
0.0000 3.5332 0.0000
0.0000 0.0000 15.3799
Si Ge Pd
4 4 16
Cartesian
1.6397 0.8833 0.9105
1.6687 2.6499 8.6005
4.9480 0.8833 6.7794
4.9770 2.6499 14.4694
1.6259 2.6499 4.7520
1.6824 0.8833 12.4420
4.9342 2.6499 2.9380
4.9907 0.8833 10.6279
0.0654 2.6499 6.6332
0.4380 2.6499 10.9467
0.7391 2.6499 2.3744
0.9021 2.6499 14.6358
2.4062 0.8833 6.9459
2.5692 0.8833 10.0643
2.8704 0.8833 3.2567
3.2429 0.8833 14.3232
3.3737 2.6499 1.0567
3.7463 2.6499 12.1232
4.0475 2.6499 5.3156
4.2104 2.6499 8.4341
5.7146 0.8833 0.7441
5.8775 0.8833 13.0056
6.1787 0.8833 4.4332
6.5512 0.8833 8.7467
```

Energy relative to the lowest polymorph listed for this composition (meV/atom): 0

=====

Entry 3:
SiGe2Pd8 | PBE | relaxed

Geometry as POSCAR:
```
SiGe2Pd8
1.0
-2.0191 3.6252 5.7444
2.0191 -3.6252 5.7444
2.0191 3.6252 -5.7444
Si Ge Pd
1 2 8
Cartesian
0.0000 0.0000 0.0000
0.0000 0.0000 3.5875
0.0000 0.0000 7.9012
2.0191 -1.6471 3.8758
2.0191 0.0000 1.4762
2.0191 2.2864 0.0000
0.0000 1.9781 1.8685
2.0191 1.6471 3.8758
0.0000 1.3388 5.7444
0.0000 3.6252 4.2682
0.0000 5.2723 1.8685
```

Energy relative to the lowest polymorph listed for this composition (meV/atom): 51

=====

Entry 4:
SiGePd3 | PBE | relaxed

Geometry as POSCAR:
```
SiGePd3
1.0
4.5441 0.0000 0.0000
0.0000 4.5441 0.0000
0.0000 0.0000 4.5441
Si Ge Pd
1 1 3
Cartesian
0.0000 0.0000 0.0000
2.2721 2.2721 2.2721
0.0000 0.0000 2.2721
0.0000 2.2721 0.0000
2.2721 0.0000 0.0000
```

Energy relative to the lowest polymorph listed for this composition (meV/atom): 425

=====

Entry 5:
Si2GePd4 | PBE | relaxed

Geometry as POSCAR:
```
Si2GePd4
1.0
1.4357 -7.5268 0.0000
1.4357 7.5268 0.0000
0.0000 0.0000 10.3010
Si Ge Pd
4 2 8
Cartesian
1.4357 5.5697 5.8775
1.4357 5.5697 9.5739
1.4357 -5.5697 0.7271
1.4357 -5.5697 4.4234
1.4357 1.7939 7.7257
1.4357 -1.7939 2.5752
1.4357 7.1450 7.7257
1.4357 3.9647 1.1987
1.4357 3.9647 3.9518
1.4357 0.0000 0.0000
1.4357 0.0000 5.1505
1.4357 -3.9647 6.3492
1.4357 -3.9647 9.1023
1.4357 -7.1450 2.5752
```

=====

Entry 6:
Si2Ge5Pd12 | PBE | relaxed

Geometry as POSCAR:
```
Si2Ge5Pd12
1.0
7.4005 -3.2849 0.0000
7.4005 3.2849 0.0000
-3.1533 0.0000 6.5657
Si Ge Pd
2 5 12
Cartesian
7.4005 1.9618 0.0000
7.4005 -1.9618 0.0000
1.7774 0.0000 2.3317
0.4054 0.0000 5.3479
5.8239 0.0000 3.2829
11.2423 0.0000 1.2178
9.8703 0.0000 4.2340
-2.1293 0.0000 4.7480
1.9401 1.7441 6.2303
3.7303 1.4963 2.9250
9.7076 1.7441 0.3354
7.9175 1.4963 3.6407
4.2157 0.0000 5.1995
7.4320 0.0000 1.3663
3.7303 -1.4963 2.9250
1.9401 -1.7441 6.2303
7.9175 -1.4963 3.6407
9.7076 -1.7441 0.3354
13.7770 0.0000 1.8178
```

=====

Entry 7:
SiGe2Pd2 | PBE | relaxed

Geometry as POSCAR:
```
SiGe2Pd2
1.0
4.0074 0.0000 0.0000
0.0000 4.0074 0.0000
0.0000 0.0000 11.0554
Si Ge Pd
2 4 4
Cartesian
0.0000 0.0000 0.0000
2.0037 2.0037 5.5277
0.0000 0.0000 4.3132
0.0000 0.0000 6.7422
2.0037 2.0037 1.2145
2.0037 2.0037 9.8409
0.0000 2.0037 2.7638
0.0000 2.0037 8.2915
2.0037 0.0000 2.7638
2.0037 0.0000 8.2915
```

Energy relative to the lowest polymorph listed for this composition (meV/atom): 80

=====

Entry 8:
SiGe3Pd | PBE | relaxed

Geometry as POSCAR:
```
SiGe3Pd
1.0
4.6991 0.0000 0.0000
0.0000 4.6991 0.0000
0.0000 0.0000 4.6991
Si Ge Pd
1 3 1
Cartesian
0.0000 0.0000 0.0000
0.0000 0.0000 2.3496
0.0000 2.3496 0.0000
2.3496 0.0000 0.0000
2.3496 2.3496 2.3496
```

Energy relative to the lowest polymorph listed for this composition (meV/atom): 79

=====

Entry 9:
SiGePd3 | PBE | relaxed

Geometry as POSCAR:
```
SiGePd3
1.0
2.9788 0.0000 0.0000
0.0000 3.8858 6.8427
0.0000 -3.8858 6.8427
Si Ge Pd
2 2 6
Cartesian
0.0000 -2.3473 6.8427
0.0000 2.3473 6.8427
0.0000 0.0000 10.1912
1.4894 0.0000 3.8704
0.0000 0.0000 1.8004
0.0000 0.0000 6.0903
1.4894 -2.3782 4.8879
1.4894 -1.4619 8.6451
1.4894 2.3782 4.8879
1.4894 1.4619 8.6451
```

Energy relative to the lowest polymorph listed for this composition (meV/atom): 0

=====

Entry 10:
SiGePd3 | PBE | relaxed

Geometry as POSCAR:
```
SiGePd3
1.0
4.6354 0.0000 0.0000
0.0000 4.6354 0.0000
0.0000 0.0000 4.6354
Si Ge Pd
1 1 3
Cartesian
0.0000 0.0000 0.0000
2.3177 2.3177 2.3177
0.0000 2.3177 2.3177
2.3177 0.0000 2.3177
2.3177 2.3177 0.0000
```

Energy relative to the lowest polymorph listed for this composition (meV/atom): 801

=====

Entry 11:
SiGe2Pd2 | PBE | relaxed

Geometry as POSCAR:
```
SiGe2Pd2
1.0
7.5264 0.0000 0.0000
0.0000 7.5264 0.0000
0.0000 0.0000 2.9537
Si Ge Pd
2 4 4
Cartesian
0.0000 0.0000 0.0000
3.7632 3.7632 0.0000
1.1878 2.5754 1.4769
2.5754 6.3386 1.4769
4.9510 1.1878 1.4769
6.3386 4.9510 1.4769
1.0618 4.8250 0.0000
2.7014 1.0618 0.0000
4.8250 6.4646 0.0000
6.4646 2.7014 0.0000
```

Energy relative to the lowest polymorph listed for this composition (meV/atom): 0

=====

Entry 12:
SiGePd4 | PBE | relaxed

Geometry as POSCAR:
```
SiGePd4
1.0
4.5835 0.0000 0.0000
0.0000 7.2914 0.0000
-2.0037 0.0000 6.3332
Si Ge Pd
2 2 8
Cartesian
-0.6201 1.8229 2.7341
3.1999 5.4686 3.5991
-0.2980 1.8229 5.7666
2.8778 5.4686 0.5666
-0.1874 4.0644 2.0422
-0.1874 6.8728 2.0422
-1.3626 5.4686 6.0559
1.6596 1.8229 1.9828
0.9202 5.4686 4.3505
3.9423 1.8229 0.2773
2.7672 0.4187 4.2910
2.7672 3.2271 4.2910
```

Energy relative to the lowest polymorph listed for this composition (meV/atom): 278

=====

Entry 13:
SiGe2Pd6 | PBE | relaxed

Geometry as POSCAR:
```
SiGe2Pd6
1.0
6.6754 0.0000 0.0000
-3.3377 5.7811 0.0000
0.0000 0.0000 3.5124
Si Ge Pd
1 2 6
Cartesian
0.0000 0.0000 0.0000
0.0000 3.8541 1.7562
3.3377 1.9270 1.7562
-0.8631 1.4949 1.7562
-2.0351 3.5249 0.0000
1.7261 0.0000 1.7562
1.3026 2.2562 0.0000
4.0702 0.0000 0.0000
2.4746 4.2862 1.7562
```

=====

Entry 14:
Sm3Si2GePd9 | PBE | relaxed

Geometry as POSCAR:
```
Sm3Si2GePd9
1.0
6.4061 0.0000 0.0000
-3.2030 5.5478 0.0000
0.0000 0.0000 8.5978
Sm Si Ge Pd
3 2 1 9
Cartesian
0.0000 0.0000 0.0000
0.0000 3.6985 5.8743
3.2030 1.8493 2.7235
0.0000 3.6985 1.5243
3.2030 1.8493 7.0735
0.0000 0.0000 4.2989
-1.6015 2.7739 0.0000
0.0000 1.6258 2.4572
-1.7951 4.7349 2.4572
1.4079 0.8129 6.1406
3.2030 0.0000 0.0000
1.6015 2.7739 0.0000
1.7951 4.7349 2.4572
4.9981 0.8129 6.1406
3.2030 3.9221 6.1406
```

=====

Entry 15:
Sm2SiGePd6 | PBE | relaxed

Geometry as POSCAR:
```
Sm2SiGePd6
1.0
5.5608 0.0000 0.0000
0.0000 8.6824 0.0000
0.0000 0.0000 8.1478
Sm Si Ge Pd
4 2 2 12
Cartesian
1.3902 0.0266 1.9100
1.3902 4.3145 1.9100
4.1706 4.3678 6.2379
4.1706 8.6557 6.2379
1.3902 2.1706 6.0897
4.1706 6.5118 2.0582
1.3902 6.5118 6.2456
4.1706 2.1706 1.9022
5.5587 2.1706 4.0707
0.0021 6.5118 4.0771
0.0103 2.1706 8.0231
1.3902 0.0083 5.0127
1.3902 4.3329 5.0127
2.7701 2.1706 8.0231
2.7825 2.1706 4.0707
2.7783 6.5118 4.0771
2.7907 6.5118 0.1247
4.1706 4.3495 3.1351
4.1706 8.6741 3.1351
5.5504 6.5118 0.1247
```

=====

Entry 16:
Sm3SiGe6Pd2 | PBE | relaxed

Geometry as POSCAR:
```
Sm3SiGe6Pd2
1.0
5.6769 0.0000 0.0000
-2.8385 4.9164 0.0000
0.0000 0.0000 9.0900
Sm Si Ge Pd
3 1 6 2
Cartesian
0.0000 0.0000 0.0000
0.0000 3.2776 5.3381
2.8385 1.6388 3.7520
0.0000 0.0000 4.5450
0.0000 1.7018 2.4908
-1.3647 4.0655 2.4908
1.4738 0.8509 6.5992
1.3647 4.0655 2.4908
4.2032 0.8509 6.5992
2.8385 3.2146 6.5992
0.0000 3.2776 0.3592
2.8385 1.6388 8.7308
```

=====

Entry 17:
Sr2SiGe4Pd3 | PBE | relaxed

Geometry as POSCAR:
```
Sr2SiGe4Pd3
1.0
4.4003 0.0000 0.0000
0.0000 4.4003 0.0000
0.0000 0.0000 10.5027
Sr Si Ge Pd
2 1 4 3
Cartesian
0.0000 2.2001 2.6184
2.2001 0.0000 7.8843
0.0000 0.0000 5.2513
0.0000 0.0000 0.0000
0.0000 2.2001 6.6479
2.2001 0.0000 3.8548
2.2001 2.2001 0.0000
0.0000 2.2001 9.1726
2.2001 0.0000 1.3300
2.2001 2.2001 5.2513
```

=====

Entry 18:
Sr2Si3GePd4 | PBE | relaxed

Geometry as POSCAR:
```
Sr2Si3GePd4
1.0
4.3549 0.0000 0.0000
0.0000 4.3549 0.0000
0.0000 0.0000 10.1278
Sr Si Ge Pd
2 3 1 4
Cartesian
0.0000 2.1774 2.5053
2.1774 0.0000 7.6225
0.0000 0.0000 0.0000
0.0000 2.1774 6.2639
2.1774 0.0000 3.8638
2.1774 2.1774 0.0000
0.0000 0.0000 5.0639
0.0000 2.1774 8.7859
2.1774 0.0000 1.3419
2.1774 2.1774 5.0639
```

=====

Entry 19:
Sr2SiGe3Pd4 | PBE | relaxed

Geometry as POSCAR:
```
Sr2SiGe3Pd4
1.0
4.3758 0.0000 0.0000
0.0000 4.3758 0.0000
0.0000 0.0000 10.3962
Sr Si Ge Pd
2 1 3 4
Cartesian
0.0000 2.1879 2.5436
2.1879 0.0000 7.8527
2.1879 2.1879 0.0000
0.0000 0.0000 0.0000
0.0000 2.1879 6.5127
2.1879 0.0000 3.8835
0.0000 0.0000 5.1981
0.0000 2.1879 9.1215
2.1879 0.0000 1.2747
2.1879 2.1879 5.1981
```

=====

Entry 20:
Sr2SiGePd6 | PBE | relaxed

Geometry as POSCAR:
```
Sr2SiGePd6
1.0
-3.3513 3.3513 4.7334
3.3513 -3.3513 4.7334
3.3513 3.3513 -4.7334
Sr Si Ge Pd
2 1 1 6
Cartesian
3.3513 0.0000 2.3667
0.0000 3.3513 2.3667
0.0000 0.0000 0.0000
0.0000 0.0000 4.7334
0.0000 0.0000 2.3113
1.6364 1.6364 0.0000
1.7148 -1.7148 4.7334
-1.7148 1.7148 4.7334
0.0000 0.0000 7.1555
1.7148 1.7148 4.7334
```

=====

Entry 21:
Tb3Si2GePd9 | PBE | relaxed

Geometry as POSCAR:
```
Tb3Si2GePd9
1.0
6.3747 0.0000 0.0000
-3.1873 5.5206 0.0000
0.0000 0.0000 8.6269
Tb Si Ge Pd
3 2 1 9
Cartesian
0.0000 0.0000 0.0000
0.0000 3.6804 6.0662
3.1873 1.8402 2.5607
0.0000 3.6804 1.5342
3.1873 1.8402 7.0927
0.0000 0.0000 4.3134
-1.5937 2.7603 0.0000
0.0000 1.6081 2.4487
-1.7947 4.7166 2.4487
1.3926 0.8040 6.1782
3.1873 0.0000 0.0000
1.5937 2.7603 0.0000
1.7947 4.7166 2.4487
4.9821 0.8040 6.1782
3.1873 3.9126 6.1782
```

=====

Number 1: volume 167.69 Å³/cell, formation energy (no corrections) 0.009 eV per atom. Number 2: volume 359.55 Å³/cell, formation energy (no corrections) -0.622 eV per atom. Number 3: volume 168.19 Å³/cell, formation energy (no corrections) -0.449 eV per atom. Number 4: volume 93.83 Å³/cell, formation energy (no corrections) 0.014 eV per atom. Number 5: volume 222.63 Å³/cell, formation energy (no corrections) -0.334 eV per atom. Number 6: volume 319.22 Å³/cell, formation energy (no corrections) -0.390 eV per atom. Number 7: volume 177.54 Å³/cell, formation energy (no corrections) 0.031 eV per atom. Number 8: volume 103.76 Å³/cell, formation energy (no corrections) 0.663 eV per atom. Number 9: volume 158.41 Å³/cell, formation energy (no corrections) -0.411 eV per atom. Number 10: volume 99.60 Å³/cell, formation energy (no corrections) 0.390 eV per atom. Number 11: volume 167.32 Å³/cell, formation energy (no corrections) -0.050 eV per atom. Number 12: volume 211.66 Å³/cell, formation energy (no corrections) -0.344 eV per atom. Number 13: volume 135.55 Å³/cell, formation energy (no corrections) -0.599 eV per atom. Number 14: volume 305.56 Å³/cell, formation energy (no corrections) -0.640 eV per atom. Number 15: volume 393.38 Å³/cell, formation energy (no corrections) -0.745 eV per atom. Number 16: volume 253.70 Å³/cell, formation energy (no corrections) -0.361 eV per atom. Number 17: volume 203.36 Å³/cell, formation energy (no corrections) -0.579 eV per atom. Number 18: volume 192.07 Å³/cell, formation energy (no corrections) -0.709 eV per atom. Number 19: volume 199.07 Å³/cell, formation energy (no corrections) -0.693 eV per atom. Number 20: volume 212.64 Å³/cell, formation energy (no corrections) -0.526 eV per atom. Number 21: volume 303.60 Å³/cell, formation energy (no corrections) -0.635 eV per atom.